# 1
4
Lattice="-1.7207 2.2850 5.3275 1.7207 -2.2850 5.3275 1.7207 2.2850 -5.3275" Properties=species:S:1:pos:R:3 comment="ZrIn2Cu | Alexandria | GGA-PBE | optimized geometry" spacegroup="Imm2, No. 44" crystal_system=orthorhombic mass_density_g_cm3=7.62 energy_ev_per_atom=-4.550 pbc="T T T"
Zr 0.0000 0.0000 0.0000
In 0.0000 0.0000 4.4536
In 0.0000 2.2850 2.2327
Cu 1.7207 0.0000 2.2649

# 2
6
Lattice="-1.5898 2.0714 8.4943 1.5898 -2.0714 8.4943 1.5898 2.0714 -8.4943" Properties=species:S:1:pos:R:3 comment="Zr2InCu3 | Alexandria | GGA-PBE | optimized geometry" spacegroup="Imm2, No. 44" crystal_system=orthorhombic mass_density_g_cm3=7.24 energy_ev_per_atom=-5.373 pbc="T T T"
Zr 0.0000 0.0000 0.0000
Zr 0.0000 2.0714 3.4176
In 0.0000 0.0000 6.7508
Cu 1.5898 0.0000 2.3045
Cu 1.5898 0.0000 4.6935
Cu 0.0000 0.0000 9.5174

# 3
28
Lattice="8.0601 0.0000 0.0000 0.0000 4.8943 0.0000 0.0000 0.0000 10.5364" Properties=species:S:1:pos:R:3 comment="ZrInCu5 | Alexandria | GGA-PBE | optimized geometry" spacegroup="Pnma, No. 62" crystal_system=orthorhombic mass_density_g_cm3=8.37 energy_ev_per_atom=-4.644 pbc="T T T"
Zr 1.9718 1.2236 0.6541
Zr 2.0582 3.6707 5.9223
Zr 6.0019 1.2236 4.6141
Zr 6.0883 3.6707 9.8823
In 1.0696 1.2236 3.7892
In 2.9604 3.6707 9.0574
In 5.0997 1.2236 1.4789
In 6.9905 3.6707 6.7471
Cu 0.4441 1.2236 6.3070
Cu 0.5595 2.4598 8.5747
Cu 0.5595 4.8816 8.5747
Cu 0.7075 3.6707 0.1893
Cu 1.4997 3.6707 2.5332
Cu 2.5303 1.2236 7.8014
Cu 3.3225 1.2236 5.4575
Cu 3.4705 0.0127 3.3065
Cu 3.4705 2.4344 3.3065
Cu 3.5859 3.6707 1.0388
Cu 4.4742 1.2236 9.4976
Cu 4.5896 2.4598 7.2299
Cu 4.5896 4.8816 7.2299
Cu 4.7376 3.6707 5.0789
Cu 5.5298 3.6707 2.7350
Cu 6.5604 1.2236 8.0031
Cu 7.3526 1.2236 10.3470
Cu 7.5006 0.0127 1.9617
Cu 7.5006 2.4344 1.9617
Cu 7.6160 3.6707 4.2294

# 4
4
Lattice="5.6026 -1.5579 0.0000 5.6026 1.5579 0.0000 -2.5322 0.0000 4.7097" Properties=species:S:1:pos:R:3 comment="ZrIn2Cu | Alexandria | GGA-PBE | optimized geometry" spacegroup="C2/m, No. 12" crystal_system=monoclinic mass_density_g_cm3=7.76 energy_ev_per_atom=-4.511 pbc="T T T"
Zr 0.0000 0.0000 0.0000
In 0.6696 0.0000 3.4073
In 8.0035 0.0000 1.3024
Cu 4.3365 0.0000 2.3548

# 5
4
Lattice="0.0000 3.4434 3.4434 3.4434 0.0000 3.4434 3.4434 3.4434 0.0000" Properties=species:S:1:pos:R:3 comment="ZrIn2Cu | Alexandria | GGA-PBE | optimized geometry" spacegroup="Fm-3m, No. 225" crystal_system=cubic mass_density_g_cm3=7.82 energy_ev_per_atom=-4.429 pbc="T T T"
Zr 0.0000 0.0000 0.0000
In 1.7217 1.7217 1.7217
In 5.1651 5.1651 5.1651
Cu 3.4434 3.4434 3.4434

# 6
5
Lattice="4.9249 0.0000 0.0000 0.0000 4.9249 0.0000 0.0000 0.0000 4.9249" Properties=species:S:1:pos:R:3 comment="Zr3InCu | Alexandria | GGA-PBE | optimized geometry" spacegroup="Pm-3m, No. 221" crystal_system=cubic mass_density_g_cm3=6.28 energy_ev_per_atom=-6.245 pbc="T T T"
Zr 0.0000 0.0000 2.4625
Zr 0.0000 2.4625 0.0000
Zr 2.4625 0.0000 0.0000
In 2.4625 2.4625 2.4625
Cu 0.0000 0.0000 0.0000

# 7
4
Lattice="4.3374 0.0000 0.0000 0.0000 4.3374 0.0000 0.0000 0.0000 4.2260" Properties=species:S:1:pos:R:3 comment="ZrIn2Cu | Alexandria | GGA-PBE | optimized geometry" spacegroup="P4/mmm, No. 123" crystal_system=tetragonal mass_density_g_cm3=8.03 energy_ev_per_atom=-4.728 pbc="T T T"
Zr 0.0000 0.0000 0.0000
In 0.0000 2.1687 2.1130
In 2.1687 0.0000 2.1130
Cu 2.1687 2.1687 0.0000

# 8
4
Lattice="3.2771 0.0000 0.0000 0.0000 3.2771 0.0000 0.0000 0.0000 7.7179" Properties=species:S:1:pos:R:3 comment="ZrIn2Cu | Alexandria | GGA-PBE | optimized geometry" spacegroup="P4mm, No. 99" crystal_system=tetragonal mass_density_g_cm3=7.70 energy_ev_per_atom=-4.577 pbc="T T T"
Zr 0.0000 0.0000 0.0000
In 0.0000 0.0000 3.2534
In 1.6386 1.6386 5.5543
Cu 1.6386 1.6386 1.6525

# 9
6
Lattice="0.0000 4.1338 4.1338 4.1338 0.0000 4.1338 4.1338 4.1338 0.0000" Properties=species:S:1:pos:R:3 comment="ZrIn4Cu | Alexandria | GGA-PBE | optimized geometry" spacegroup="F-43m, No. 216" crystal_system=cubic mass_density_g_cm3=7.22 energy_ev_per_atom=-3.536 pbc="T T T"
Zr 0.0000 0.0000 0.0000
In 3.1011 3.1011 3.1011
In 5.1665 5.1665 3.1011
In 5.1665 3.1011 5.1665
In 3.1011 5.1665 5.1665
Cu 6.2007 6.2007 6.2007

# 10
5
Lattice="4.6643 0.0000 0.0000 0.0000 4.6643 0.0000 0.0000 0.0000 4.6643" Properties=species:S:1:pos:R:3 comment="ZrInCu3 | Alexandria | GGA-PBE | optimized geometry" spacegroup="Pm-3m, No. 221" crystal_system=cubic mass_density_g_cm3=6.49 energy_ev_per_atom=-3.925 pbc="T T T"
Zr 0.0000 0.0000 0.0000
In 2.3322 2.3322 2.3322
Cu 0.0000 2.3322 2.3322
Cu 2.3322 0.0000 2.3322
Cu 2.3322 2.3322 0.0000